The following is a DFT calculation (PBE) of a geometry-optimized RbSmAgI6 structure.

Lattice parameters (Å, degrees): 8.5372 7.7433 8.1069 86.47 82.08 55.51
Fractional coordinates of all 9 atoms:
Rb (0.0411, 0.9410, 0.0082)
Sm (0.6742, 0.6404, 0.5142)
Ag (0.2964, 0.3381, 0.4686)
I (0.0088, 0.3758, 0.2434)
I (0.3756, 0.0405, 0.7308)
I (0.6398, 0.3795, 0.7841)
I (0.9767, 0.6651, 0.6722)
I (0.3933, 0.6184, 0.3207)
I (0.5939, 0.0013, 0.2577)

Summary:
The calculation puts the formation energy from raw total energies at -0.96 eV per atom. Its symmetry is P1, No. 1. The size of the total moment is 0.00 μB per formula unit. The final energy comes out at -26.49 eV/cell.